NbFeN2Cl | GGA-PBEsol | relaxed

The mass density comes out at 6164 kg/m³. The calculation puts the uncorrected formation energy at 3.54 eV per formula unit. As for the total energy: -7.062 eV per atom. The total moment is 1.44 Bohr magnetons per cell.

Cell: 3.6780 3.6780 4.2260 Å, 90.00 90.00 90.00°
Closest atoms and distances in Å follow each position.
Fractional coordinates of all 5 atoms:
Nb  0.0000  0.0000  0.0000  4 Cl 2.60, 8 N 2.80
Fe  0.5000  0.5000  0.5000  4 N 1.84
N  0.0000  0.5000  0.5000  2 Fe 1.84
N  0.5000  0.0000  0.5000  2 Fe 1.84
Cl  0.5000  0.5000  0.0000  2 Fe 2.11